DFT (PBE) results for Ac4Zn2Ga5 after structural relaxation.

Computed properties:
Calculated total energy ... -38.8 eV per cell
Total magnetization ... 0.00 μB/f.u.

Cell and atoms, written as CIF:
```
data_Ac4Zn2Ga5
_symmetry_space_group_name_H-M 'P 1 2/m 1'
_symmetry_Int_Tables_number 10
_cell_length_a 7.3447
_cell_length_b 4.7597
_cell_length_c 8.6544
_cell_angle_alpha 90.00
_cell_angle_beta 95.89
_cell_angle_gamma 90.00
loop_
_symmetry_equiv_pos_as_xyz
'x,y,z'
'-x,-y,-z'
'-x,y,-z'
'x,-y,z'
loop_
_atom_site_label
_atom_site_type_symbol
_atom_site_fract_x
_atom_site_fract_y
_atom_site_fract_z
Ac1 Ac 0.2163 0.0000 0.1429
Ac2 Ac 0.2769 0.0000 0.6440
Zn1 Zn 0.0617 0.5000 0.3749
Ga1 Ga 0.1281 0.5000 0.8870
Ga2 Ga 0.4038 0.5000 0.3687
Ga3 Ga 0.5000 0.5000 0.0000
```